LiHg3IrSe4 | PBE | relaxed Values from VASP.

Geometry as Quantum ESPRESSO input:
```
&SYSTEM
  ibrav = 0, nat = 9, ntyp = 4
/
ATOMIC_SPECIES
Li 6.94 Li.upf
Hg 200.59 Hg.upf
Ir 192.22 Ir.upf
Se 78.96 Se.upf
ATOMIC_POSITIONS crystal
Li 0.0000 0.0000 0.0000
Hg 0.0000 0.5000 0.5000
Hg 0.5000 0.0000 0.5000
Hg 0.5000 0.5000 0.0000
Ir 0.5000 0.5000 0.5000
Se 0.2447 0.2447 0.2447
Se 0.2447 0.7553 0.7553
Se 0.7553 0.2447 0.7553
Se 0.7553 0.7553 0.2447
CELL_PARAMETERS angstrom
6.2282 0.0000 0.0000
0.0000 6.2282 0.0000
0.0000 0.0000 6.2282
```

Computed properties:
Calculated volume in Å³/cell: 242
E in eV/cell: -24.758
Space-group type: No. 215
Total magnetic moment in μB/atom: 0.23
Density in g cm⁻³: 7.68

***

Li4Sn2HgIr | PBE | relaxed Values from VASP.

Geometry as Quantum ESPRESSO input:
```
&SYSTEM
  ibrav = 0, nat = 8, ntyp = 4
/
ATOMIC_SPECIES
Li 6.94 Li.upf
Sn 118.71 Sn.upf
Hg 200.59 Hg.upf
Ir 192.22 Ir.upf
ATOMIC_POSITIONS crystal
Li 0.0000 0.0000 0.0000
Li 0.0000 0.5000 0.2341
Li 0.5000 0.0000 0.7659
Li 0.5000 0.5000 0.5000
Sn 0.0000 0.5000 0.7837
Sn 0.5000 0.0000 0.2163
Hg 0.0000 0.0000 0.5000
Ir 0.5000 0.5000 0.0000
CELL_PARAMETERS angstrom
4.5426 0.0000 0.0000
0.0000 4.5426 0.0000
0.0000 0.0000 6.6729
```

Computed properties:
Calculated volume in Å³/cell: 138
E in eV/cell: -27.856
Space-group type: No. 115
Total magnetic moment in μB/atom: 0.00
Density in g cm⁻³: 7.93